[1]
Compound: CePu2SiN4
Source: Alexandria
Functional: PBE-GGA
Structure: relaxed

Results
For the formation energy from raw total energies, the calculation gives -1.0898 eV per atom. The density is 10.4 Mg/m³. The calculation puts the raw total energy at -10.255 eV per atom. The total moment comes out at 11.11 μB per formula unit.

Lattice parameters (Å, degrees): 3.368 11.466 11.813 90.00 90.00 90.00
Space group Cmcm (No. 63)
Unique sites:
Ce: 0.000 0.090 0.250 (multiplicity 4)
Pu: 0.000 0.366 0.043 (multiplicity 8)
Si: 0.000 0.177 0.750 (multiplicity 4)
N: 0.000 0.000 0.000 (multiplicity 4)
N: 0.000 0.273 0.635 (multiplicity 8)
N: 0.000 0.406 0.250 (multiplicity 4)

[2]
Compound: CeGd3Co
Source: Alexandria
Functional: PBE-GGA
Structure: relaxed

Results
The formation energy is 83 meV/atom. The density is 7.4 Mg/m³. The calculation puts the raw total energy at -10.973 eV per atom. The total moment comes out at 21.50 μB per formula unit.

Lattice parameters (Å, degrees): 5.328 5.328 5.328 90.00 90.00 90.00
Space group Pm-3m (No. 221)
Unique sites:
Ce: 0.000 0.000 0.000 (multiplicity 1)
Gd: 0.000 0.500 0.500 (multiplicity 3)
Co: 0.500 0.500 0.500 (multiplicity 1)

[3]
Compound: GdAgBi
Source: Alexandria
Functional: PBE-GGA
Structure: relaxed

Results
The formation energy is -304 meV/atom. The density is 9.6 Mg/m³. The calculation puts the raw total energy at -7.242 eV per atom. The total moment comes out at 7.14 μB per formula unit.

Lattice parameters (Å, degrees): 4.197 4.197 9.317 90.00 90.00 90.00
Space group I4mm (No. 107)
Unique sites:
Gd: 0.000 0.000 0.000 (multiplicity 2)
Ag: 0.000 0.000 0.669 (multiplicity 2)
Bi: 0.000 0.000 0.346 (multiplicity 2)

- Which formula does entry 1 have?
  CePu2SiN4

- raw total energy of number 3 (GdAgBi)?
  -7.242 eV per atom

Repeat the third record exactly.
Compound: GdAgBi
Source: Alexandria
Functional: PBE-GGA
Structure: relaxed

Results
The formation energy is -304 meV/atom. The density is 9.6 Mg/m³. The calculation puts the raw total energy at -7.242 eV per atom. The total moment comes out at 7.14 μB per formula unit.

Lattice parameters (Å, degrees): 4.197 4.197 9.317 90.00 90.00 90.00
Space group I4mm (No. 107)
Unique sites:
Gd: 0.000 0.000 0.000 (multiplicity 2)
Ag: 0.000 0.000 0.669 (multiplicity 2)
Bi: 0.000 0.000 0.346 (multiplicity 2)